VASP calculation (PBE-GGA) on crystalline Y3Ho2In2 at its relaxed geometry.

The structure in POSCAR format:
```
Y3Ho2In2
1.0
-0.863 4.511 -1.792
-2.626 -1.240 -1.857
-7.780 4.406 8.058
Ho In Y
2 2 3
direct
0.285 0.500 0.429
0.715 0.500 0.571
0.428 0.500 0.143
0.572 0.500 0.857
0.143 0.000 0.714
0.857 0.000 0.286
0.000 0.000 0.000
```

## Properties
symmetry = Cmmm
E_form = -0.17 eV per atom
E = -0.37004 Ry/atom
ΔE to the lowest computed polymorph = 106.6 meV per atom